[1]
Dy2ScS4 after structural relaxation, computed with GGA-PBE.

Lattice parameters (Å, degrees): 6.938 6.798 7.423 90.00 105.44 90.00
Atoms (fractional coordinates):
Dy 0.675 0.750 0.046
Dy 0.325 0.250 0.954
Dy 0.315 0.250 0.457
Dy 0.685 0.750 0.543
Sc 0.195 0.750 0.174
Sc 0.805 0.250 0.826
S 0.488 0.504 0.249
S 0.975 0.750 0.866
S 0.025 0.250 0.134
S 0.488 0.996 0.249
S 0.023 0.250 0.630
S 0.512 0.004 0.751
S 0.512 0.496 0.751
S 0.977 0.750 0.370

## Properties
The total magnetic moment comes out at 0.00 μB per atom. As for the total energy: -89.3 eV per cell. As for the polymorph energy (0 for the lowest one): 185 meV/atom.

[2]
Dy2ScS after structural relaxation, computed with GGA-PBE.

Lattice parameters (Å, degrees): 3.600 3.600 9.895 79.52 79.52 60.00
Each line ends with the local moment (μB).
Atoms (fractional coordinates):
Sc 0.000 0.000 0.000  0.26
S 0.500 0.500 0.500  0.00
Dy 0.109 0.109 0.673  0.02
Dy 0.891 0.891 0.327  0.02

## Properties
The total magnetic moment comes out at 0.11 μB per atom. As for the total energy: -22.3 eV per cell.

[3]
Dy2ScS4 after structural relaxation, computed with GGA-PBE.

Lattice parameters (Å, degrees): 3.932 6.962 10.940 90.00 90.00 90.00
Atoms (fractional coordinates):
Dy 0.500 0.893 0.814
Dy 0.500 0.107 0.186
Dy 0.500 0.393 0.686
Dy 0.500 0.607 0.314
Sc 0.000 0.000 0.500
Sc 0.000 0.500 0.000
S 0.000 0.621 0.783
S 0.000 0.379 0.217
S 0.000 0.121 0.717
S 0.000 0.879 0.283
S 0.500 0.758 0.550
S 0.500 0.242 0.450
S 0.500 0.742 0.050
S 0.500 0.258 0.950

## Properties
The total magnetic moment comes out at 0.00 μB per atom. As for the total energy: -91.9 eV per cell. As for the polymorph energy (0 for the lowest one): 0 meV/atom.

[4]
DySc4S6 after structural relaxation, computed with GGA-PBE.

Lattice parameters (Å, degrees): 3.683 6.344 18.994 90.00 90.00 106.87
Atoms (fractional coordinates):
Dy 0.652 0.305 0.250
Dy 0.348 0.695 0.750
Sc 0.860 0.720 0.539
Sc 0.407 0.814 0.125
Sc 0.140 0.280 0.461
Sc 0.593 0.186 0.875
Sc 0.860 0.720 0.961
Sc 0.140 0.280 0.039
Sc 0.593 0.186 0.625
Sc 0.407 0.814 0.375
S 0.500 0.000 0.000
S 0.500 0.000 0.500
S 0.047 0.094 0.337
S 0.953 0.906 0.663
S 0.953 0.906 0.837
S 0.047 0.094 0.163
S 0.769 0.538 0.413
S 0.231 0.462 0.587
S 0.231 0.462 0.913
S 0.769 0.538 0.087
S 0.317 0.634 0.250
S 0.683 0.366 0.750

## Properties
The total magnetic moment comes out at 0.00 μB per atom. As for the total energy: -152.3 eV per cell.

[5]
Dy2Sc2S3 after structural relaxation, computed with GGA-PBE.

Lattice parameters (Å, degrees): 3.674 7.015 6.691 83.08 74.06 74.82
Atoms (fractional coordinates):
Dy 0.573 0.138 0.715
Dy 0.427 0.862 0.285
Sc 0.753 0.342 0.152
Sc 0.247 0.658 0.848
S 0.000 0.000 0.000
S 0.831 0.754 0.584
S 0.169 0.246 0.416

## Properties
The total magnetic moment comes out at 0.00 μB per atom. As for the total energy: -45.0 eV per cell.

[6]
Dy3ScS4 after structural relaxation, computed with GGA-PBE.

Lattice parameters (Å, degrees): 3.829 6.697 6.697 109.15 90.00 90.00
Atoms (fractional coordinates):
Sc 0.500 0.000 0.000
S 0.000 0.239 0.239
S 0.500 0.755 0.245
S 0.000 0.761 0.761
S 0.500 0.245 0.755
Dy 0.000 0.000 0.500
Dy 0.500 0.500 0.500
Dy 0.000 0.500 0.000

## Properties
The total magnetic moment comes out at 0.00 μB per atom. As for the total energy: -52.2 eV per cell. As for the polymorph energy (0 for the lowest one): 0 meV/atom.

[7]
Dy4Sc3S8 after structural relaxation, computed with GGA-PBE.

Lattice parameters (Å, degrees): 7.653 7.621 7.621 90.03 120.14 120.14
Atoms (fractional coordinates):
Dy 0.500 0.000 0.000
Dy 0.000 0.500 0.000
Dy 0.000 0.000 0.000
Dy 0.000 0.000 0.500
Sc 0.500 0.500 0.000
Sc 0.500 0.000 0.500
Sc 0.500 0.500 0.500
S 0.509 0.260 0.260
S 0.000 0.746 0.254
S 0.010 0.259 0.259
S 0.500 0.745 0.255
S 0.500 0.255 0.745
S 0.990 0.741 0.741
S 0.000 0.254 0.746
S 0.491 0.740 0.740

## Properties
The total magnetic moment comes out at 0.00 μB per atom. As for the total energy: -100.0 eV per cell.

[8]
Dy6ScS8 after structural relaxation, computed with GGA-PBE.

Lattice parameters (Å, degrees): 7.761 7.761 7.761 60.00 60.00 60.00
Atoms (fractional coordinates):
Dy 0.000 0.500 0.500
Dy 0.500 0.000 0.000
Dy 0.500 0.500 0.000
Dy 0.000 0.000 0.500
Dy 0.000 0.500 0.000
Dy 0.500 0.000 0.500
Sc 0.000 0.000 0.000
S 0.750 0.750 0.750
S 0.250 0.250 0.250
S 0.757 0.243 0.243
S 0.243 0.757 0.757
S 0.243 0.243 0.757
S 0.757 0.757 0.243
S 0.757 0.243 0.757
S 0.243 0.757 0.243

## Properties
The total magnetic moment comes out at 0.00 μB per atom. As for the total energy: -97.5 eV per cell.

[9]
Dy2Sc3S6 after structural relaxation, computed with GGA-PBE.

Lattice parameters (Å, degrees): 6.516 6.494 6.591 80.50 70.80 59.89
Atoms (fractional coordinates):
Dy 0.166 0.668 0.500
Dy 0.834 0.332 0.500
Sc 0.000 0.000 0.000
Sc 0.336 0.327 0.000
Sc 0.664 0.673 0.000
S 0.412 0.669 0.764
S 0.742 0.000 0.760
S 0.081 0.331 0.764
S 0.258 0.000 0.240
S 0.588 0.331 0.236
S 0.919 0.669 0.236

## Properties
The total magnetic moment comes out at 0.00 μB per atom. As for the total energy: -75.0 eV per cell.

[10]
DySc3S6 after structural relaxation, computed with GGA-PBE.

Lattice parameters (Å, degrees): 3.764 10.628 10.820 109.47 90.00 90.00
Atoms (fractional coordinates):
Dy 0.750 0.049 0.697
Dy 0.250 0.951 0.303
Sc 0.750 0.441 0.835
Sc 0.250 0.559 0.165
Sc 0.750 0.682 0.500
Sc 0.250 0.318 0.500
Sc 0.750 0.160 0.087
Sc 0.250 0.840 0.913
S 0.750 0.476 0.613
S 0.250 0.524 0.387
S 0.750 0.919 0.092
S 0.250 0.081 0.908
S 0.750 0.393 0.059
S 0.250 0.607 0.941
S 0.750 0.734 0.270
S 0.250 0.266 0.730
S 0.750 0.118 0.465
S 0.250 0.882 0.535
S 0.750 0.800 0.750
S 0.250 0.200 0.250

## Properties
The total magnetic moment comes out at 0.00 μB per atom. As for the total energy: -135.5 eV per cell.

[11]
Dy3Sc4S8 after structural relaxation, computed with GGA-PBE.

Lattice parameters (Å, degrees): 7.542 7.582 7.582 90.01 119.85 119.85
Atoms (fractional coordinates):
Dy 0.500 0.500 0.000
Dy 0.500 0.000 0.500
Dy 0.500 0.500 0.500
Sc 0.500 0.000 0.000
Sc 0.000 0.500 0.000
Sc 0.000 0.000 0.000
Sc 0.000 0.000 0.500
S 0.493 0.241 0.241
S 0.000 0.754 0.246
S 0.990 0.242 0.242
S 0.500 0.755 0.245
S 0.500 0.245 0.755
S 0.010 0.758 0.758
S 0.000 0.246 0.754
S 0.507 0.759 0.759

## Properties
The total magnetic moment comes out at 0.00 μB per atom. As for the total energy: -101.6 eV per cell.

[12]
Dy5Sc3S8 after structural relaxation, computed with GGA-PBE.

Lattice parameters (Å, degrees): 7.662 7.662 7.661 60.00 60.00 60.00
Atoms (fractional coordinates):
Dy 0.500 0.000 0.000
Dy 0.500 0.500 0.000
Dy 0.000 0.000 0.000
Dy 0.000 0.500 0.000
Dy 0.500 0.500 0.500
Sc 0.500 0.000 0.500
Sc 0.000 0.000 0.500
Sc 0.000 0.500 0.500
S 0.250 0.250 0.739
S 0.250 0.761 0.739
S 0.761 0.250 0.739
S 0.755 0.755 0.734
S 0.750 0.750 0.261
S 0.750 0.239 0.261
S 0.239 0.750 0.261
S 0.245 0.245 0.266

## Properties
The total magnetic moment comes out at 0.00 μB per atom. As for the total energy: -105.9 eV per cell.